i.
The following is a PBE-GGA calculation of crystalline In2SbPb at its relaxed geometry, from the Alexandria database. Values from VASP.

Quantum ESPRESSO input file:
```
&SYSTEM
  ibrav = 0, nat = 4, ntyp = 3
/
ATOMIC_SPECIES
In 114.82 In.upf
Sb 121.76 Sb.upf
Pb 207.20 Pb.upf
CELL_PARAMETERS angstrom
-5.1822 -1.0054 2.5012
-2.1668 -4.6958 -2.7161
5.2297 0.7561 2.4902
ATOMIC_POSITIONS crystal
In 0.2502 0.7502 0.5000
Sb 0.7500 0.2500 0.5000
In 0.0000 0.0000 0.0000
Pb 0.4998 0.4998 0.0000
```

Total magnetic moment ... 0.00 Bohr magnetons per cell

ii.
The following is a PBE-GGA calculation of crystalline In2SbPb at its relaxed geometry, from the Alexandria database. Values from VASP.

Quantum ESPRESSO input file:
```
&SYSTEM
  ibrav = 0, nat = 4, ntyp = 3
/
ATOMIC_SPECIES
In 114.82 In.upf
Sb 121.76 Sb.upf
Pb 207.20 Pb.upf
CELL_PARAMETERS angstrom
2.6042 2.6766 3.9558
-2.3247 4.3226 2.3462
-1.7820 -0.3196 5.1299
ATOMIC_POSITIONS crystal
In 0.2500 0.2500 0.2500
Sb 0.0000 0.0000 0.0000
Pb 0.5000 0.5000 0.5000
In 0.7500 0.7500 0.7500
```

Total magnetic moment ... 0.00 Bohr magnetons per cell

iii.
The following is a PBE-GGA calculation of crystalline In2SbPb at its relaxed geometry, from the Alexandria database. Values from VASP.

Quantum ESPRESSO input file:
```
&SYSTEM
  ibrav = 0, nat = 4, ntyp = 3
/
ATOMIC_SPECIES
Pb 207.20 Pb.upf
Sb 121.76 Sb.upf
In 114.82 In.upf
CELL_PARAMETERS angstrom
-2.4067 -2.2900 0.8957
2.0648 -2.3651 -1.4077
4.4061 -1.2689 8.5948
ATOMIC_POSITIONS crystal
Pb 0.5000 0.5000 0.2500
Sb 0.5000 0.5000 0.7500
In 0.0000 0.0000 0.5072
In 0.0000 0.0000 0.9928
```

Total magnetic moment ... 0.00 Bohr magnetons per cell

iv.
The following is a PBE-GGA calculation of crystalline In2SbPb at its relaxed geometry, from the Alexandria database. Values from VASP.

Quantum ESPRESSO input file:
```
&SYSTEM
  ibrav = 0, nat = 4, ntyp = 3
/
ATOMIC_SPECIES
In 114.82 In.upf
Sb 121.76 Sb.upf
Pb 207.20 Pb.upf
CELL_PARAMETERS angstrom
4.5020 0.0000 0.0000
2.2510 3.8989 0.0000
2.2510 1.2996 7.1453
ATOMIC_POSITIONS crystal
In 0.2566 0.2566 0.2301
Sb 0.6672 0.6672 0.9984
In 0.0763 0.0763 0.7712
Pb 0.4999 0.4999 0.5003
```

Total magnetic moment ... 0.00 Bohr magnetons per cell

Which of them is the most stable? Correct choice: i.